(1)
A plane-wave DFT calculation with PBE was carried out for YZn4Au8 after structural relaxation.

Calculated formation energy = -0.35 eV per atom
ρ = 13.70 g cm⁻³
DOS at the Fermi energy = 0.276 states/eV/atom

a b c (Å): 7.0988 7.0988 7.0988
angles (deg): 98.40 98.40 135.07
Fractional coordinates of all 13 atoms:
Y (0.0000, 0.0000, 0.0000)
Zn (0.0000, 0.0000, 0.5000)
Zn (0.0000, 0.5000, 0.0000)
Zn (0.5000, 0.0000, 0.0000)
Zn (0.5000, 0.5000, 0.5000)
Au (0.0000, 0.3319, 0.3319)
Au (0.0000, 0.6681, 0.6681)
Au (0.2829, 0.5000, 0.7829)
Au (0.3319, 0.0000, 0.3319)
Au (0.5000, 0.2829, 0.7829)
Au (0.5000, 0.7171, 0.2171)
Au (0.6681, 0.0000, 0.6681)
Au (0.7171, 0.5000, 0.2171)

=====

(2)
A plane-wave DFT calculation with PBE was carried out for Sr3LaTa3O12 after structural relaxation.

Total energy = -163.302 eV/f.u.
ρ = 7.36 g cm⁻³
DOS at the Fermi energy = 0.000 states/eV/atom

a b c (Å): 9.7215 9.7215 9.7215
angles (deg): 34.03 34.03 34.03
Fractional coordinates of all 19 atoms:
Sr (0.0000, 0.0000, 0.0000)
Sr (0.1483, 0.1483, 0.1483)
Sr (0.5714, 0.5714, 0.5714)
La (0.4286, 0.4286, 0.4286)
Ta (0.2845, 0.2845, 0.2845)
Ta (0.7080, 0.7080, 0.7080)
Ta (0.8613, 0.8613, 0.8613)
O (0.0756, 0.0756, 0.5761)
O (0.0756, 0.5761, 0.0756)
O (0.1683, 0.6571, 0.6571)
O (0.4024, 0.9101, 0.9101)
O (0.4918, 0.4918, 0.9909)
O (0.4918, 0.9909, 0.4918)
O (0.5761, 0.0756, 0.0756)
O (0.6571, 0.1683, 0.6571)
O (0.6571, 0.6571, 0.1683)
O (0.9101, 0.4024, 0.9101)
O (0.9101, 0.9101, 0.4024)
O (0.9909, 0.4918, 0.4918)

=====

(3)
A plane-wave DFT calculation with PBE was carried out for Cs2LiLaBr6 after structural relaxation.

Total energy = -37.102 eV/f.u.
ρ = 3.96 g cm⁻³
DOS at the Fermi energy = 0.000 states/eV/atom

a b c (Å): 8.0835 8.0835 8.0835
angles (deg): 60.00 60.00 60.00
Fractional coordinates of all 10 atoms:
Cs (0.2500, 0.2500, 0.2500)
Cs (0.7500, 0.7500, 0.7500)
Li (0.0000, 0.0000, 0.0000)
La (0.5000, 0.5000, 0.5000)
Br (0.2436, 0.2436, 0.7564)
Br (0.2436, 0.7564, 0.2436)
Br (0.2436, 0.7564, 0.7564)
Br (0.7564, 0.2436, 0.2436)
Br (0.7564, 0.2436, 0.7564)
Br (0.7564, 0.7564, 0.2436)

=====

(4)
A plane-wave DFT calculation with PBE was carried out for NdCuP after structural relaxation.

Calculated formation energy = -0.84 eV per atom
ρ = 6.89 g cm⁻³
DOS at the Fermi energy = 0.529 states/eV/atom

a b c (Å): 7.6048 7.6048 7.6048
angles (deg): 149.18 149.18 44.15
Fractional coordinates of all 6 atoms:
Nd (0.0000, 0.0000, 0.0000)
Nd (0.7500, 0.2500, 0.5000)
Cu (0.4133, 0.4133, 0.0000)
Cu (0.5867, 0.5867, 0.0000)
P (0.1663, 0.6663, 0.5000)
P (0.3337, 0.8337, 0.5000)

=====

(5)
A plane-wave DFT calculation with PBE was carried out for Tb2Sm2YEr4 after structural relaxation.

Calculated formation energy = 0.00 eV per atom
ρ = 7.99 g cm⁻³
DOS at the Fermi energy = 1.371 states/eV/atom

a b c (Å): 9.4776 9.4776 9.5280
angles (deg): 115.26 115.26 21.80
Fractional coordinates of all 9 atoms:
Tb (0.1475, 0.1475, 0.1637)
Tb (0.8525, 0.8525, 0.8363)
Sm (0.3338, 0.3338, 0.4997)
Sm (0.6662, 0.6662, 0.5003)
Y (0.0000, 0.0000, 0.5000)
Er (0.1854, 0.1854, 0.8360)
Er (0.4806, 0.4806, 0.1645)
Er (0.5194, 0.5194, 0.8355)
Er (0.8146, 0.8146, 0.1640)

=====

(6)
A plane-wave DFT calculation with PBE was carried out for ErPaAgRh after structural relaxation.

Calculated formation energy = -0.28 eV per atom
ρ = 11.57 g cm⁻³
DOS at the Fermi energy = 1.467 states/eV/atom

a b c (Å): 4.9816 4.9816 4.9816
angles (deg): 60.00 60.00 60.00
Fractional coordinates of all 4 atoms:
Er (0.0000, 0.0000, 0.0000)
Pa (0.5000, 0.5000, 0.5000)
Ag (0.2500, 0.2500, 0.2500)
Rh (0.7500, 0.7500, 0.7500)

=====

(7)
A plane-wave DFT calculation with PBE was carried out for NiTeOs2 after structural relaxation.

Total energy = -28.240 eV/f.u.
ρ = 15.09 g cm⁻³
DOS at the Fermi energy = 0.848 states/eV/atom

a b c (Å): 4.4514 4.4514 4.4514
angles (deg): 60.00 60.00 60.00
Fractional coordinates of all 4 atoms:
Ni (0.0000, 0.0000, 0.0000)
Te (0.2500, 0.2500, 0.2500)
Os (0.5000, 0.5000, 0.5000)
Os (0.7500, 0.7500, 0.7500)

=====

(8)
A plane-wave DFT calculation with PBE was carried out for AcScI2 after structural relaxation.

Total energy = -16.093 eV/f.u.
ρ = 6.06 g cm⁻³
DOS at the Fermi energy = 1.228 states/eV/atom

a b c (Å): 10.9922 10.9922 10.9922
angles (deg): 20.61 20.61 20.61
Fractional coordinates of all 4 atoms:
Ac (0.0000, 0.0000, 0.0000)
Sc (0.5000, 0.5000, 0.5000)
I (0.1077, 0.1077, 0.1077)
I (0.8923, 0.8923, 0.8923)

=====

(9)
A plane-wave DFT calculation with PBE was carried out for Tb2PmSmY6 after structural relaxation.

Calculated formation energy = 0.12 eV per atom
ρ = 5.76 g cm⁻³
DOS at the Fermi energy = 1.577 states/eV/atom

a b c (Å): 8.8056 8.8056 9.7159
angles (deg): 94.52 94.52 117.40
Fractional coordinates of all 20 atoms:
Tb (0.1933, 0.2939, 0.0458)
Tb (0.2939, 0.1933, 0.5458)
Tb (0.7061, 0.8067, 0.4542)
Tb (0.8067, 0.7061, 0.9542)
Pm (0.4073, 0.5927, 0.7500)
Pm (0.5927, 0.4073, 0.2500)
Sm (0.0232, 0.9768, 0.2500)
Sm (0.9768, 0.0232, 0.7500)
Y (0.0210, 0.5715, 0.1823)
Y (0.1196, 0.7489, 0.5567)
Y (0.2511, 0.8804, 0.9433)
Y (0.2948, 0.5072, 0.3815)
Y (0.4285, 0.9790, 0.3177)
Y (0.4928, 0.7052, 0.1185)
Y (0.5072, 0.2948, 0.8815)
Y (0.5715, 0.0210, 0.6823)
Y (0.7052, 0.4928, 0.6185)
Y (0.7489, 0.1196, 0.0567)
Y (0.8804, 0.2511, 0.4433)
Y (0.9790, 0.4285, 0.8177)

=====

(10)
A plane-wave DFT calculation with PBE was carried out for Ce2YScSb4 after structural relaxation.

Total energy = -49.442 eV/f.u.
ρ = 6.25 g cm⁻³
DOS at the Fermi energy = 1.762 states/eV/atom

a b c (Å): 7.5829 4.3969 7.6171
angles (deg): 90.00 109.56 90.00
Fractional coordinates of all 8 atoms:
Ce (0.0000, 0.0000, 0.0000)
Ce (0.0000, 0.5000, 0.5000)
Y (0.5000, 0.0000, 0.5000)
Sc (0.5000, 0.5000, 0.0000)
Sb (0.2607, 0.5000, 0.2465)
Sb (0.2658, 0.0000, 0.7623)
Sb (0.7342, 0.0000, 0.2377)
Sb (0.7393, 0.5000, 0.7535)

=====

(11)
A plane-wave DFT calculation with PBE was carried out for Tb3Ce2ZrN6 after structural relaxation.

Total energy = -103.664 eV/f.u.
ρ = 8.68 g cm⁻³
DOS at the Fermi energy = 0.540 states/eV/atom

a b c (Å): 6.0278 6.0278 6.0077
angles (deg): 99.61 99.61 119.97
Fractional coordinates of all 12 atoms:
Tb (0.0000, 0.0000, 0.0000)
Tb (0.3348, 0.6652, 0.0000)
Tb (0.6652, 0.3348, 0.0000)
Ce (0.1668, 0.8332, 0.5000)
Ce (0.8332, 0.1668, 0.5000)
Zr (0.5000, 0.5000, 0.5000)
N (0.0989, 0.4200, 0.2600)
N (0.2603, 0.2603, 0.7441)
N (0.4200, 0.0989, 0.2600)
N (0.5800, 0.9011, 0.7400)
N (0.7397, 0.7397, 0.2559)
N (0.9011, 0.5800, 0.7400)

=====

(12)
A plane-wave DFT calculation with PBE was carried out for Nd3As5Pd6 after structural relaxation.

Calculated formation energy = -0.91 eV per atom
ρ = 8.81 g cm⁻³
DOS at the Fermi energy = 0.583 states/eV/atom

a b c (Å): 4.2032 12.8669 10.0781
angles (deg): 90.00 90.00 90.00
Fractional coordinates of all 28 atoms:
Nd (0.2500, 0.0841, 0.2463)
Nd (0.2500, 0.4159, 0.2463)
Nd (0.2500, 0.7500, 0.2536)
Nd (0.7500, 0.2500, 0.7464)
Nd (0.7500, 0.5841, 0.7537)
Nd (0.7500, 0.9159, 0.7537)
As (0.2500, 0.0849, 0.8524)
As (0.2500, 0.4151, 0.8524)
As (0.2500, 0.6257, 0.5248)
As (0.2500, 0.7500, 0.8503)
As (0.2500, 0.8743, 0.5248)
As (0.7500, 0.1257, 0.4752)
As (0.7500, 0.2500, 0.1497)
As (0.7500, 0.3743, 0.4752)
As (0.7500, 0.5849, 0.1476)
As (0.7500, 0.9151, 0.1476)
Pd (0.2500, 0.0630, 0.6058)
Pd (0.2500, 0.2500, 0.4741)
Pd (0.2500, 0.2500, 0.9993)
Pd (0.2500, 0.4370, 0.6058)
Pd (0.2500, 0.5818, 0.9998)
Pd (0.2500, 0.9182, 0.9998)
Pd (0.7500, 0.0818, 0.0002)
Pd (0.7500, 0.4182, 0.0002)
Pd (0.7500, 0.5630, 0.3942)
Pd (0.7500, 0.7500, 0.0007)
Pd (0.7500, 0.7500, 0.5259)
Pd (0.7500, 0.9370, 0.3942)